(1)
Pt5Br | PBE-GGA | optimized geometry

Cell lengths 8.0124, 8.0124, 2.7803 Å; angles 90.00, 90.00, 145.20 degrees
Fractional coordinates of all 6 atoms:
1 Pt 0.0000 0.0000 0.0000
2 Pt 0.1598 0.8402 0.5000
3 Pt 0.3170 0.6830 0.0000
4 Pt 0.6830 0.3170 0.0000
5 Pt 0.8402 0.1598 0.5000
6 Br 0.5000 0.5000 0.5000

Properties
Space group ... Cmmm (65)
Uncorrected energy ... -4.941 eV per atom
E_form (uncorrected) ... 372 meV/atom
E above lowest polymorph ... 49.0 meV per atom

---

(2)
PtBr | PBE-GGA | optimized geometry

Cell lengths 3.5870, 3.5870, 8.5858 Å; angles 90.00, 90.00, 120.00 degrees
Fractional coordinates of all 4 atoms:
1 Pt 0.3333 0.6667 0.0972
2 Pt 0.6667 0.3333 0.9028
3 Br 0.3333 0.6667 0.7053
4 Br 0.6667 0.3333 0.2947

Properties
Space group ... P-3m1 (164)
Uncorrected energy ... -3.523 eV per atom
E_form (uncorrected) ... 334 meV/atom

---

(3)
Pt4Br | PBE-GGA | optimized geometry

Cell lengths 4.6630, 4.6630, 4.6630 Å; angles 90.00, 90.00, 90.00 degrees
Fractional coordinates of all 5 atoms:
1 Pt 0.0000 0.0000 0.0000
2 Pt 0.0000 0.5000 0.5000
3 Pt 0.5000 0.0000 0.5000
4 Pt 0.5000 0.5000 0.0000
5 Br 0.5000 0.5000 0.5000

Properties
Space group ... Pm-3m (221)
Uncorrected energy ... -3.821 eV per atom
E_form (uncorrected) ... 1346 meV/atom
E above lowest polymorph ... 821.3 meV per atom

---

(4)
PtBr | PBE-GGA | optimized geometry

Cell lengths 4.7786, 4.7786, 4.7786 Å; angles 60.00, 60.00, 60.00 degrees
Fractional coordinates of all 4 atoms:
1 Pt 0.1250 0.1250 0.1250
2 Pt 0.8750 0.8750 0.8750
3 Br 0.3750 0.3750 0.3750
4 Br 0.6250 0.6250 0.6250

Properties
Space group ... Fd-3m (227)
Uncorrected energy ... -2.956 eV per atom
E_form (uncorrected) ... 901 meV/atom

---

(5)
PtBr | PBE-GGA | optimized geometry

Cell lengths 4.8891, 4.5136, 6.1204 Å; angles 90.00, 90.00, 90.00 degrees
Fractional coordinates of all 4 atoms:
1 Pt 0.2500 0.0000 0.0715
2 Pt 0.7500 0.0000 0.9285
3 Br 0.2500 0.5000 0.2209
4 Br 0.7500 0.5000 0.7791

Properties
Space group ... Pmma (51)
Uncorrected energy ... -3.551 eV per atom
E_form (uncorrected) ... 306 meV/atom

---

(6)
Pt2Br | PBE-GGA | optimized geometry

Cell lengths 3.8326, 3.8326, 9.1042 Å; angles 90.00, 90.00, 120.00 degrees
Fractional coordinates of all 6 atoms:
1 Pt 0.3333 0.6667 0.0778
2 Pt 0.3333 0.6667 0.4222
3 Pt 0.6667 0.3333 0.5778
4 Pt 0.6667 0.3333 0.9222
5 Br 0.0000 0.0000 0.2500
6 Br 0.0000 0.0000 0.7500

Properties
Space group ... P6_3/mmc (194)
Uncorrected energy ... -4.246 eV per atom
E_form (uncorrected) ... 339 meV/atom
E above lowest polymorph ... 148.5 meV per atom

---

(7)
PtBr | PBE-GGA | optimized geometry

Cell lengths 3.3641, 3.3641, 3.3641 Å; angles 90.00, 90.00, 90.00 degrees
Fractional coordinates of all 2 atoms:
1 Pt 0.0000 0.0000 0.0000
2 Br 0.5000 0.5000 0.5000

Properties
Space group ... Pm-3m (221)
Uncorrected energy ... -3.002 eV per atom
E_form (uncorrected) ... 855 meV/atom

---

(8)
PtBr | PBE-GGA | optimized geometry

Cell lengths 7.4021, 3.7362, 6.8372 Å; angles 90.00, 90.00, 90.00 degrees
Fractional coordinates of all 8 atoms:
1 Pt 0.1128 0.2500 0.0525
2 Pt 0.3872 0.7500 0.5525
3 Pt 0.6128 0.2500 0.4475
4 Pt 0.8872 0.7500 0.9475
5 Br 0.1801 0.2500 0.6770
6 Br 0.3199 0.7500 0.1770
7 Br 0.6801 0.2500 0.8230
8 Br 0.8199 0.7500 0.3230

Properties
Space group ... Pnma (62)
Uncorrected energy ... -3.636 eV per atom
E_form (uncorrected) ... 221 meV/atom

---

Question: Number 3 is which compound?
Answer: Pt4Br